# PuH8Rh2

PuH8Rh2 after structural relaxation (PBE-GGA, Alexandria via LeMat-Bulk).

Cell lengths 3.7063, 5.0596, 5.0596 Å; angles 117.57, 90.87, 90.87 degrees
Fractional coordinates of all 11 atoms:
H  0.2460  0.5482  0.5482
H  0.5000  0.3036  0.6964
H  0.9844  0.9728  0.6853
H  0.0156  0.3147  0.0272
H  0.9844  0.6853  0.9728
H  0.5000  0.6964  0.3036
H  0.7540  0.4518  0.4518
H  0.0156  0.0272  0.3147
Rh  0.0000  0.6722  0.3278
Rh  0.0000  0.3278  0.6722
Pu  0.5000  0.0000  0.0000

Properties
ΔE to the lowest computed polymorph, eV/f.u.: 0.00
E, Ha/atom: -0.1921
Crystal system: monoclinic
Space group: C2/m

# Zr2CrP

Zr2CrP after structural relaxation (PBE-GGA, Alexandria via LeMat-Bulk).

Cell lengths 7.6933, 7.6933, 7.6933 Å; angles 25.48, 25.48, 25.48 degrees
Fractional coordinates of all 4 atoms:
P  0.7626  0.7626  0.7626
Zr  0.2394  0.2394  0.2394
Zr  0.0199  0.0199  0.0199
Cr  0.4781  0.4781  0.4781

Properties
E, Ha/atom: -0.3035
Crystal system: trigonal
Space group: R3m
Formation energy from the elements, meV/atom: -228

# K5DyS4

K5DyS4 after structural relaxation (PBE-GGA, Alexandria via LeMat-Bulk).

Cell lengths 4.4352, 8.2252, 9.8079 Å; angles 114.83, 103.07, 90.00 degrees
Fractional coordinates of all 10 atoms:
Dy  0.5000  0.0000  0.0000
S  0.0002  0.2235  0.0004
S  0.6695  0.1689  0.3389
S  0.3305  0.8311  0.6611
S  0.9998  0.7765  0.9996
K  0.1717  0.9231  0.3433
K  0.8280  0.5810  0.6561
K  0.5000  0.5000  0.0000
K  0.8283  0.0769  0.6567
K  0.1720  0.4190  0.3439

Properties
E, Ha/atom: -0.1440
Crystal system: monoclinic
Space group: C2/m